Computed, not measured: a relaxed structure of MnWO6 at the GGA+U level of DFT.

Lattice parameters (Å, degrees): 7.5917 7.5917 7.5917 90.00 90.00 90.00
Space group Fm-3m (No. 225)
Symmetry-distinct sites (fractional):
Mn (0.0000, 0.0000, 0.0000) (multiplicity 4)
W (0.0000, 0.0000, 0.5000) (multiplicity 4)
O (0.0000, 0.0000, 0.2468) (multiplicity 24)

Calculated values
Crystal system   cubic


Computed, not measured: a relaxed structure of MnW2O6 at the GGA+U level of DFT.

Lattice parameters (Å, degrees): 5.3197 5.3197 4.6420 90.00 90.00 120.00
Space group P-31m (No. 162)
Symmetry-distinct sites (fractional):
Mn (0.0000, 0.0000, 0.0000) (multiplicity 1)
W (0.3333, 0.6667, 0.5000) (multiplicity 2)
O (0.0000, 0.3538, 0.2735) (multiplicity 6)

Calculated values
Crystal system   trigonal


It is found that the DFT total energy values, taken in the order of the records, are -53.609 -68.618 eV/f.u..